The following is a DFT calculation (PBE+U) of an optimized crystal structure of Li5Fe2Co3O10.

* calculated volume: 8.73 Å³/atom
* total magnetization: 8.00 μB/cell
* distance to the lowest polymorph of the same formula: 0.0 meV/atom
* VASP energy: -114.25 eV per cell

Cell lengths 4.996, 5.090, 7.673 Å; angles 107.92, 103.42, 99.48 degrees
Atoms (fractional coordinates):
1 Li 0.000 0.000 0.000
2 Li 0.101 0.206 0.717
3 Li 0.289 0.574 0.082
4 Li 0.711 0.426 0.918
5 Li 0.899 0.794 0.283
6 Fe 0.393 0.802 0.805
7 Fe 0.607 0.198 0.195
8 Co 0.200 0.404 0.401
9 Co 0.500 0.000 0.500
10 Co 0.800 0.596 0.599
11 O 0.051 0.599 0.830
12 O 0.144 0.769 0.552
13 O 0.275 0.044 0.274
14 O 0.365 0.194 0.956
15 O 0.465 0.392 0.632
16 O 0.535 0.608 0.368
17 O 0.635 0.806 0.044
18 O 0.725 0.956 0.726
19 O 0.856 0.231 0.448
20 O 0.949 0.401 0.170